(1)
Compound: LiLaNdS3
Source: Alexandria
Functional: PBE
Structure: optimized geometry

abc: 8.405 3.957 8.620
angles: 90.00 101.77 90.00
Positions (direct):
Li 0.087 0.250 0.085
Li 0.913 0.750 0.915
La 0.178 0.250 0.718
La 0.822 0.750 0.282
Nd 0.341 0.750 0.332
Nd 0.659 0.250 0.668
S 0.097 0.250 0.364
S 0.203 0.750 0.994
S 0.418 0.750 0.673
S 0.582 0.250 0.327
S 0.797 0.250 0.006
S 0.903 0.750 0.636

Values from the calculation:
Calculated volume = 280.6 Å³ per cell
Symmetry = P2_1/m (11)
Raw total energy = -5.88 eV/atom
D(E_F) = 0.35 states/eV per atom

(2)
Compound: AcTb2YS4
Source: Alexandria
Functional: PBE
Structure: optimized geometry

abc: 6.989 3.978 7.027
angles: 90.00 108.92 90.00
Positions (direct):
Ac 0.000 0.000 0.000
Tb 0.500 0.000 0.500
Tb 0.500 0.500 0.000
Y 0.000 0.500 0.500
S 0.258 0.000 0.740
S 0.268 0.500 0.269
S 0.732 0.500 0.731
S 0.742 0.000 0.260

Values from the calculation:
Calculated volume = 184.8 Å³ per cell
Symmetry = P2/m (10)
Raw total energy = -6.51 eV/atom
D(E_F) = 0.62 states/eV per atom

(3)
Compound: BaNi2BP
Source: Alexandria
Functional: PBE
Structure: optimized geometry

abc: 4.280 4.280 4.540
angles: 90.00 90.00 90.00
Positions (direct):
Ba 0.000 0.000 0.000
Ni 0.000 0.500 0.500
Ni 0.500 0.000 0.500
B 0.500 0.500 0.500
P 0.500 0.500 0.000

Values from the calculation:
Calculated volume = 83.2 Å³ per cell
Symmetry = P4/mmm (123)
Raw total energy = -4.86 eV/atom
D(E_F) = 0.48 states/eV per atom